[1]
The following is a DFT calculation (GGA-PBE) of a geometry-optimized LaMo2Pt structure.

Lattice parameters (Å, degrees): 5.570 5.570 5.570 137.28 137.28 62.01
Atoms (fractional coordinates):
Pt (0.250, 0.750, 0.500)
Mo (0.500, 0.500, 0.000)
Mo (0.000, 0.000, 0.000)
La (0.750, 0.250, 0.500)

Summary:
Symmetry: I4/mmm, No. 139



[2]
The following is a DFT calculation (GGA-PBE) of a geometry-optimized LaMoPt structure.

Lattice parameters (Å, degrees): 4.339 4.339 4.511 90.00 90.00 120.00
Atoms (fractional coordinates):
La (0.000, 0.000, 0.000)
Mo (0.333, 0.667, 0.500)
Pt (0.667, 0.333, 0.500)

Summary:
Symmetry: P-6m2, No. 187



[3]
The following is a DFT calculation (GGA-PBE) of a geometry-optimized LaMo2Pt structure.

Lattice parameters (Å, degrees): 3.379 4.587 5.022 90.00 90.00 90.00
Atoms (fractional coordinates):
Mo (0.000, 0.000, 0.000)
La (0.000, 0.500, 0.500)
Pt (0.500, 0.000, 0.500)
Mo (0.500, 0.500, 0.000)

Summary:
Symmetry: Pmmm, No. 47



[4]
The following is a DFT calculation (GGA-PBE) of a geometry-optimized LaMo2Pt structure.

Lattice parameters (Å, degrees): 3.253 3.253 7.485 90.00 90.00 90.00
Atoms (fractional coordinates):
Pt (0.000, 0.000, 0.454)
La (0.500, 0.500, 0.749)
Mo (0.000, 0.000, 0.062)
Mo (0.500, 0.500, 0.235)

Summary:
Symmetry: P4mm, No. 99



Quick rundown of E above lowest polymorph, same order as above: 383; 0; 292; 0 meV/atom
Quick rundown of energy of formation from the pure elements, same order as above: 0.35; -0.18; 0.26; -0.03 eV/atom
Quick rundown of density of states at the Fermi level, same order as above: 1.00; 0.86; 1.52; 0.91 states/eV per atom